No. 1
BaC3 | PBE | optimized geometry

Results
The value obtained for the energy above the lowest structure with this stoichiometry is 3129 meV/atom.

Cell: 4.013 4.013 4.042 Å, 90.00 90.00 90.00°
Space group P4/mmm (No. 123)
Asymmetric unit:
Ba (0.000, 0.000, 0.000) (multiplicity 1)
C (0.000, 0.500, 0.500) (multiplicity 2)
C (0.500, 0.500, 0.000) (multiplicity 1)

***

No. 2
Hf2ZnFe | PBE | optimized geometry

Cell: 3.201 3.201 6.577 Å, 90.00 90.00 90.00°
Space group P4/mmm (No. 123)
Asymmetric unit:
Hf (0.000, 0.000, 0.234) (multiplicity 2)
Zn (0.500, 0.500, 0.500) (multiplicity 1)
Fe (0.500, 0.500, 0.000) (multiplicity 1)

***

No. 3
La2TcNi | PBE | optimized geometry

Cell: 7.144 7.131 3.528 Å, 90.00 91.93 90.00°
Space group C2/m (No. 12)
Asymmetric unit:
La (0.250, 0.250, 0.000) (multiplicity 4)
Tc (0.000, 0.000, 0.500) (multiplicity 2)
Ni (0.000, 0.500, 0.500) (multiplicity 2)

***

No. 4
YTa4Cr | PBE | optimized geometry

Cell: 7.908 7.908 7.908 Å, 90.00 90.00 90.00°
Space group F-43m (No. 216)
Asymmetric unit:
Y (0.000, 0.000, 0.000) (multiplicity 4)
Ta (0.126, 0.126, 0.374) (multiplicity 16)
Cr (0.250, 0.250, 0.750) (multiplicity 4)

***

No. 5
Ac2P7Ru12 | PBE | optimized geometry

Cell: 9.5967 9.5967 4.0039 Å, 90.00 90.00 120.00°
Space group P-6 (No. 174)
Asymmetric unit:
Ac (0.0000, 0.0000, 0.0000) (multiplicity 1)
Ac (0.3333, 0.6667, 0.5000) (multiplicity 1)
P (0.0557, 0.6197, 0.0000) (multiplicity 3)
P (0.2506, 0.0205, 0.5000) (multiplicity 3)
P (0.6667, 0.3333, 0.5000) (multiplicity 1)
Ru (0.0235, 0.7541, 0.5000) (multiplicity 3)
Ru (0.1047, 0.3821, 0.0000) (multiplicity 3)
Ru (0.4612, 0.2457, 0.0000) (multiplicity 3)
Ru (0.5091, 0.0661, 0.5000) (multiplicity 3)

***

No. 6
TbInPd | PBE | optimized geometry

Cell: 6.693 6.693 6.693 Å, 90.00 90.00 90.00°
Space group F-43m (No. 216)
Asymmetric unit:
Tb (0.000, 0.000, 0.000) (multiplicity 4)
In (0.000, 0.000, 0.500) (multiplicity 4)
Pd (0.250, 0.250, 0.250) (multiplicity 4)

***

No. 7
U2AlZnAu6 | PBE | optimized geometry

Cell: 4.851 6.712 7.147 Å, 109.79 108.47 90.69°
Space group P-1 (No. 2)
Asymmetric unit:
U (0.081, 0.189, 0.161) (multiplicity 2)
Al (0.500, 0.500, 0.000) (multiplicity 1)
Zn (0.000, 0.000, 0.500) (multiplicity 1)
Au (0.117, 0.671, 0.224) (multiplicity 2)
Au (0.311, 0.548, 0.624) (multiplicity 2)
Au (0.431, 0.090, 0.837) (multiplicity 2)

***

No. 8
HgPRu | PBE | optimized geometry

Results
The value obtained for the energy above the lowest structure with this stoichiometry is 152 meV/atom.

Cell: 3.9533 3.9533 3.8613 Å, 90.00 90.00 120.00°
Space group P-6m2 (No. 187)
Asymmetric unit:
Hg (0.0000, 0.0000, 0.0000) (multiplicity 1)
P (0.6667, 0.3333, 0.5000) (multiplicity 1)
Ru (0.3333, 0.6667, 0.5000) (multiplicity 1)

***

No. 9
Sr2IrO6 | PBE | optimized geometry

Results
For the formation energy from raw total energies, the calculation gives -1.54 eV per atom.

Cell: 5.277 5.277 10.546 Å, 90.00 90.00 90.00°
Space group P4_2/mnm (No. 136)
Asymmetric unit:
Sr (0.000, 0.000, 0.169) (multiplicity 4)
Ir (0.000, 0.000, 0.500) (multiplicity 2)
O (0.177, 0.177, 0.370) (multiplicity 8)
O (0.248, 0.248, 0.000) (multiplicity 4)

***

No. 10
MnOsAu2 | PBE | optimized geometry

Results
The value obtained for the energy above the lowest structure with this stoichiometry is 222 meV/atom.

Cell: 3.994 3.994 8.017 Å, 90.00 90.00 90.00°
Space group I4/mmm (No. 139)
Asymmetric unit:
Mn (0.000, 0.000, 0.000) (multiplicity 2)
Os (0.000, 0.000, 0.500) (multiplicity 2)
Au (0.000, 0.500, 0.250) (multiplicity 4)

***

No. 11
Ti3ZnS | PBE | optimized geometry

Results
For the formation energy from raw total energies, the calculation gives -0.34 eV per atom. The value obtained for the energy above the lowest structure with this stoichiometry is 0 meV/atom.

Cell: 4.473 4.473 4.473 Å, 90.00 90.00 90.00°
Space group Pm-3m (No. 221)
Asymmetric unit:
Ti (0.000, 0.000, 0.500) (multiplicity 3)
Zn (0.500, 0.500, 0.500) (multiplicity 1)
S (0.000, 0.000, 0.000) (multiplicity 1)

***

No. 12
Cs3ZrSe3 | PBE | optimized geometry

Results
For the formation energy from raw total energies, the calculation gives -1.25 eV per atom.

Cell: 8.864 14.635 11.456 Å, 90.00 126.97 90.00°
Space group P2_1/c (No. 14)
Asymmetric unit:
Cs (0.097, 0.142, 0.482) (multiplicity 4)
Cs (0.137, 0.070, 0.890) (multiplicity 4)
Cs (0.371, 0.688, 0.574) (multiplicity 4)
Zr (0.442, 0.052, 0.353) (multiplicity 4)
Se (0.146, 0.156, 0.195) (multiplicity 4)
Se (0.352, 0.615, 0.877) (multiplicity 4)
Se (0.372, 0.542, 0.254) (multiplicity 4)

***

No. 13
AgH4Se | PBE | optimized geometry

Cell: 8.484 11.678 5.429 Å, 90.00 113.16 90.00°
Space group C2/c (No. 15)
Asymmetric unit:
Ag (0.000, 0.000, 0.250) (multiplicity 4)
H (0.125, 0.251, 0.253) (multiplicity 8)
H (0.151, 0.000, 0.093) (multiplicity 8)
Se (0.000, 0.340, 0.250) (multiplicity 4)

***

No. 14
Na2InPb8 | PBE | optimized geometry

Results
The value obtained for the energy above the lowest structure with this stoichiometry is 102 meV/atom.

Cell: 13.759 9.041 6.034 Å, 90.00 102.18 90.00°
Space group C2/m (No. 12)
Asymmetric unit:
Na (0.129, 0.000, 0.005) (multiplicity 4)
In (0.000, 0.000, 0.500) (multiplicity 2)
Pb (0.066, 0.292, 0.286) (multiplicity 8)
Pb (0.129, 0.500, 0.835) (multiplicity 4)
Pb (0.240, 0.000, 0.561) (multiplicity 4)

***

No. 15
Pm8Pr6Sn | PBE | optimized geometry

Cell: 9.4840 9.4840 6.7191 Å, 90.00 90.00 120.00°
Space group P-3 (No. 147)
Asymmetric unit:
Pm (0.0390, 0.2647, 0.1807) (multiplicity 6)
Pm (0.3333, 0.6667, 0.1302) (multiplicity 2)
Pr (0.0898, 0.4422, 0.6690) (multiplicity 6)
Sn (0.0000, 0.0000, 0.5000) (multiplicity 1)

***

No. 16
NdSmTlCd | PBE | optimized geometry

Cell: 7.731 7.731 7.731 Å, 90.00 90.00 90.00°
Space group F-43m (No. 216)
Asymmetric unit:
Nd (0.000, 0.000, 0.000) (multiplicity 4)
Sm (0.000, 0.000, 0.500) (multiplicity 4)
Tl (0.250, 0.250, 0.750) (multiplicity 4)
Cd (0.250, 0.250, 0.250) (multiplicity 4)

***

No. 17
YRu3C | PBE | optimized geometry

Cell: 4.974 5.430 6.295 Å, 99.14 103.62 111.83°
Space group P1 (No. 1)
Asymmetric unit:
Y (0.000, 0.000, 0.000) (multiplicity 1)
Y (0.261, 0.240, 0.545) (multiplicity 1)
Ru (0.127, 0.608, 0.271) (multiplicity 1)
Ru (0.372, 0.829, 0.745) (multiplicity 1)
Ru (0.542, 0.485, 0.048) (multiplicity 1)
Ru (0.632, 0.111, 0.283) (multiplicity 1)
Ru (0.766, 0.699, 0.491) (multiplicity 1)
Ru (0.902, 0.420, 0.801) (multiplicity 1)
C (0.342, 0.739, 0.044) (multiplicity 1)
C (0.701, 0.034, 0.596) (multiplicity 1)

***

No. 18
Li3TiW | PBE | optimized geometry

Results
The value obtained for the energy above the lowest structure with this stoichiometry is 0 meV/atom.

Cell: 4.715 4.715 4.715 Å, 90.00 90.00 90.00°
Space group Pm-3m (No. 221)
Asymmetric unit:
Li (0.000, 0.000, 0.500) (multiplicity 3)
Ti (0.500, 0.500, 0.500) (multiplicity 1)
W (0.000, 0.000, 0.000) (multiplicity 1)

***

No. 19
YHf2Sb2 | PBE | optimized geometry

Results
For the formation energy from raw total energies, the calculation gives -0.55 eV per atom. The value obtained for the energy above the lowest structure with this stoichiometry is 0 meV/atom.

Cell: 7.968 7.968 3.770 Å, 90.00 90.00 90.00°
Space group P4/mbm (No. 127)
Asymmetric unit:
Y (0.000, 0.000, 0.000) (multiplicity 2)
Hf (0.148, 0.352, 0.500) (multiplicity 4)
Sb (0.144, 0.644, 0.000) (multiplicity 4)

***

No. 20
Ba2ErBi3O12 | PBE | optimized geometry

Results
For the formation energy from raw total energies, the calculation gives -1.46 eV per atom.

Cell: 7.9041 7.9041 19.0791 Å, 90.00 90.00 120.00°
Space group R-3m (No. 166, hexagonal axes)
Asymmetric unit:
Ba (0.0000, 0.0000, 0.1799) (multiplicity 6)
Er (0.0000, 0.0000, 0.5000) (multiplicity 3)
Bi (0.0000, 0.5000, 0.0000) (multiplicity 9)
O (0.0504, 0.5252, 0.1094) (multiplicity 18)
O (0.0762, 0.5381, 0.3644) (multiplicity 18)

***

No. 21
Ta5Si | PBE | optimized geometry

Results
For the formation energy from raw total energies, the calculation gives 0.04 eV per atom. The value obtained for the energy above the lowest structure with this stoichiometry is 179 meV/atom.

Cell: 2.809 2.809 13.371 Å, 90.00 90.00 90.00°
Space group P4/mmm (No. 123)
Asymmetric unit:
Ta (0.000, 0.000, 0.000) (multiplicity 1)
Ta (0.000, 0.000, 0.355) (multiplicity 2)
Ta (0.500, 0.500, 0.177) (multiplicity 2)
Si (0.500, 0.500, 0.500) (multiplicity 1)

***

No. 22
Pm2Cu3 | PBE | optimized geometry

Results
The value obtained for the energy above the lowest structure with this stoichiometry is 40 meV/atom.

Cell: 5.169 9.697 8.077 Å, 90.00 90.00 90.00°
Space group Cmce (No. 64)
Asymmetric unit:
Pm (0.000, 0.161, 0.100) (multiplicity 8)
Cu (0.000, 0.000, 0.500) (multiplicity 4)
Cu (0.250, 0.092, 0.750) (multiplicity 8)

***

No. 23
Nd2DyHg2 | PBE | optimized geometry

Results
The value obtained for the energy above the lowest structure with this stoichiometry is 0 meV/atom.

Cell: 3.787 5.380 14.214 Å, 90.00 97.64 90.00°
Space group P2_1/m (No. 11)
Asymmetric unit:
Nd (0.046, 0.250, 0.089) (multiplicity 2)
Nd (0.233, 0.250, 0.468) (multiplicity 2)
Dy (0.148, 0.750, 0.293) (multiplicity 2)
Hg (0.360, 0.750, 0.719) (multiplicity 2)
Hg (0.444, 0.250, 0.889) (multiplicity 2)

***

For the records above, the corresponding total DFT energy (no corrections) values read -4.005; -7.662; -6.436; -10.112; -8.157; -4.836; -4.877; -4.876; -6.201; -6.294; -6.158; -4.332; -3.076; -3.139; -4.696; -3.550; -8.750; -3.678; -7.474; -5.880; -10.743; -4.523; -3.321 eV per atom.